Record 1
DFT (PBE-GGA) results for a geometry-optimized Tb4Pr5Y structure.

```
Tb4Pr5Y
1.0
-2.6999 1.4545 -1.9387
-6.4343 -7.8681 3.0575
-1.8052 3.4851 8.5237
Tb Pr Y
4 5 1
Cartesian
-7.8820 -4.5118 7.5917
-9.1234 -1.4453 8.2263
-3.0574 1.5833 2.0508
-1.8160 -1.4832 1.4162
-7.1632 -1.3758 5.5485
-5.0900 1.9373 5.1470
-5.8494 -4.8657 4.4955
-4.5671 -3.2068 0.5594
-3.7762 -1.5526 4.0940
-1.3499 0.7273 -0.9693
```

## Properties
E above lowest polymorph in kJ/mol of atoms: 11.92
Space group: C2/m, No. 12
N(E_F) in states/eV/cell: 15.41
Total energy in eV per atom: -4.749
ΔE_f in eV per atom: 0.14

Record 2
DFT (PBE-GGA) results for a geometry-optimized SiRu2W structure.

```
SiRu2W
1.0
8.4407 -0.0100 -0.0059
7.9743 2.7670 -0.0059
7.9743 1.3393 2.4213
Ru Si W
2 1 1
Cartesian
24.2433 4.0718 2.3951
12.3407 2.0727 1.2192
6.0973 1.0241 0.6024
18.2920 3.0723 1.8071
```

## Properties
E_form (uncorrected) in eV/atom: -0.0921
Space group: R-3m, No. 166
N(E_F) in states/eV/cell: 5.08
Total energy in eV per atom: -9.324

Record 3
DFT (PBE-GGA) results for a geometry-optimized CaLa5Tb6 structure.

```
CaLa5Tb6
1.0
5.0163 -0.0078 -1.4596
-3.4117 8.7660 -2.4196
0.0991 -0.5560 9.6962
Ca Tb La
1 6 5
Cartesian
0.0000 0.0000 0.0000
1.0217 0.5136 3.5090
1.8612 4.5578 6.3773
2.9493 2.1241 0.7797
-1.2455 6.0781 5.0374
-0.1575 3.6444 -0.5602
0.6820 7.6886 2.3082
2.0061 1.0362 6.8919
-1.0635 2.5309 5.6841
0.8519 4.1011 2.9086
2.7672 5.6712 0.1330
-0.3024 7.1659 -1.0748
```

## Properties
Space group: Immm, No. 71
N(E_F) in states/eV/cell: 19.87
Total energy in eV per atom: -4.487
ΔE_f in eV per atom: 0.05

Record 4
DFT (PBE-GGA) results for a geometry-optimized BaCoAs2 structure.

```
BaCoAs2
1.0
3.7835 -0.0788 0.0000
-1.4072 3.5129 0.0000
0.0000 0.0000 7.2541
As Ba Co
2 1 1
Cartesian
0.0000 0.0000 6.6903
0.0000 0.0000 4.1909
1.1881 1.7170 1.8135
1.1881 1.7170 5.4406
```

## Properties
Space group: Cmmm, No. 65
N(E_F) in states/eV/cell: 3.50
Total energy in eV per atom: -4.706
ΔE_f in eV per atom: -0.12

Record 5
DFT (PBE-GGA) results for a geometry-optimized TbPm5Y5 structure.

```
TbPm5Y5
1.0
6.0530 0.0000 0.0000
-3.0265 9.4336 0.4679
0.0000 -2.7251 6.4497
Tb Pm Y
1 5 5
Cartesian
0.0000 0.0000 0.0000
3.0265 2.7300 1.3198
3.0265 0.6260 4.2114
0.0000 -1.3626 3.2249
0.0000 6.0824 2.7062
0.0000 3.9785 5.5978
3.0265 5.9138 0.7779
3.0265 4.4980 4.0390
3.0265 0.0000 0.0000
0.0000 2.2105 2.8786
0.0000 0.7947 6.1398
```

## Properties
E above lowest polymorph in kJ/mol of atoms: 0.00
Space group: C2/m, No. 12
N(E_F) in states/eV/cell: 20.13
Total energy in eV per atom: -5.255
ΔE_f in eV per atom: 0.26

Record 6
DFT (PBE-GGA) results for a geometry-optimized Tl2Ge3PdAu12 structure.

```
Tl2Ge3PdAu12
1.0
-5.1240 5.3786 -2.5165
-6.3293 -3.3855 -3.1615
-6.1729 0.4947 4.8133
Tl Ge Pd Au
2 3 1 12
Cartesian
-10.6677 1.5056 -0.5234
-6.9584 0.9821 -0.3414
-2.5620 2.6893 -1.2583
-3.1646 -1.6928 -1.5808
-3.0864 0.2474 2.4066
0.0000 0.0000 0.0000
-9.6255 1.1615 2.2055
-12.0463 1.8786 -3.0154
-12.5434 -0.4356 0.4579
-9.0765 3.7177 -1.6309
-11.9722 3.7174 0.7636
-9.7073 -0.8694 -1.9685
-8.0006 1.3263 -3.0703
-5.5798 0.6091 2.1506
-5.0828 2.9234 -1.3228
-8.5496 -1.2299 0.7661
-5.6539 -1.2296 -1.6284
-7.9188 3.3572 1.1037
```

## Properties
Space group: R-3m, No. 166
N(E_F) in states/eV/cell: 7.87
Total energy in eV per atom: -3.317
ΔE_f in eV per atom: 0.19

Record 7
DFT (PBE-GGA) results for a geometry-optimized SmEuCu structure.

```
SmEuCu
1.0
5.0192 0.0000 0.0000
2.5096 4.3468 0.0000
2.5096 1.4489 4.0982
Eu Cu Sm
1 1 1
Cartesian
5.0192 2.8978 2.0491
2.5096 1.4489 1.0245
0.0000 0.0000 0.0000
```

## Properties
E above lowest polymorph in kJ/mol of atoms: 17.16
Space group: F-43m, No. 216
N(E_F) in states/eV/cell: 4.47
Total energy in eV per atom: -6.248
ΔE_f in eV per atom: 0.11

Record 8
DFT (PBE-GGA) results for a geometry-optimized Ce8TcPt2 structure.

```
Ce8TcPt2
1.0
-3.8246 -0.6102 4.2717
-4.4603 -0.8995 -6.0819
4.8569 -5.6205 1.5857
Ce Tc Pt
8 1 2
Cartesian
-3.1426 -1.1353 0.8567
-1.2167 -2.1111 2.4416
-0.4851 -2.4888 -0.9429
2.8598 -4.6287 -0.0730
-2.4609 -1.9327 -4.4517
-2.9410 -4.6854 0.6889
-2.2096 -5.0605 -2.6940
-0.2835 -6.0364 -1.1089
-3.8221 -0.6240 4.2602
-3.4939 -2.6815 -1.5934
0.0702 -4.4874 1.3397
```

## Properties
Space group: Cm, No. 8
N(E_F) in states/eV/cell: 29.86
Total energy in eV per atom: -6.740
ΔE_f in eV per atom: -0.38

Record 9
DFT (PBE-GGA) results for a geometry-optimized ZnCN2F structure.

```
ZnCN2F
1.0
-2.1037 -1.8024 1.2183
-0.2666 -1.4685 -2.6327
4.0262 -3.6128 1.6074
Zn N C F
1 2 1 1
Cartesian
0.8280 -3.4418 0.0965
-0.1333 -0.7342 -1.3164
-1.0519 -0.9012 0.6092
0.0000 0.0000 0.0000
2.0131 -1.8064 0.8037
```

## Properties
E above lowest polymorph in kJ/mol of atoms: 0.00
E_form (uncorrected) in eV/atom: 1.1754
Space group: P4/mmm, No. 123
N(E_F) in states/eV/cell: 2.42
Total energy in eV per atom: -4.629

Record 10
DFT (PBE-GGA) results for a geometry-optimized SbMoIr2 structure.

```
SbMoIr2
1.0
8.9677 -0.0091 -0.0053
8.4853 2.9016 -0.0053
8.4853 1.4063 2.5381
Ir Mo Sb
2 1 1
Cartesian
0.0188 0.0031 0.0018
6.4360 1.0667 0.6271
13.0548 2.1636 1.2720
19.3979 3.2149 1.8901
```

## Properties
E_form (uncorrected) in eV/atom: 0.2983
Space group: R3m, No. 160
N(E_F) in states/eV/cell: 2.09
Total energy in eV per atom: -7.871

Record 11
DFT (PBE-GGA) results for a geometry-optimized PuZr2S structure.

```
PuZr2S
1.0
-1.3743 2.7871 -1.3691
-3.2421 0.7830 0.6374
0.9512 5.8359 6.7142
Pu Zr S
1 2 1
Cartesian
-1.8289 4.7099 3.0017
0.4523 4.9050 5.3200
-1.0388 2.1230 1.1534
-2.1312 8.2071 6.2131
```

## Properties
E above lowest polymorph in kJ/mol of atoms: 0.00
E_form (uncorrected) in eV/atom: -0.5801
Space group: R3m, No. 160
N(E_F) in states/eV/cell: 7.21
Total energy in eV per atom: -9.469

Record 12
DFT (PBE-GGA) results for a geometry-optimized Zn2Ga7Ag2 structure.

```
Zn2Ga7Ag2
1.0
0.6874 -5.4851 -0.4398
5.6800 -0.1720 -2.6262
1.4333 -1.3905 5.9331
Zn Ga Ag
2 7 2
Cartesian
2.0304 -1.2192 4.7297
5.0830 -0.3433 -1.4227
1.6783 -4.6679 2.9204
3.9659 -2.9984 4.2931
6.1224 -2.3797 -0.0533
3.8348 -4.0491 -1.4260
0.3437 -2.7425 -0.2199
4.9111 -1.3883 2.2390
2.8896 -5.6593 0.6280
2.8065 -2.7830 0.9963
4.9942 -4.2646 1.8708
```

## Properties
E above lowest polymorph in kJ/mol of atoms: 3.22
Space group: C2/m, No. 12
N(E_F) in states/eV/cell: 3.41
Total energy in eV per atom: -2.605
ΔE_f in eV per atom: 0.07

Which of these has the highest total energy? Zn2Ga7Ag2

Which value of N(E_F) does entry 3 give? 19.87 states/eV/cell

Repeat the third record exactly.
DFT (PBE-GGA) results for a geometry-optimized CaLa5Tb6 structure.

```
CaLa5Tb6
1.0
5.0163 -0.0078 -1.4596
-3.4117 8.7660 -2.4196
0.0991 -0.5560 9.6962
Ca Tb La
1 6 5
Cartesian
0.0000 0.0000 0.0000
1.0217 0.5136 3.5090
1.8612 4.5578 6.3773
2.9493 2.1241 0.7797
-1.2455 6.0781 5.0374
-0.1575 3.6444 -0.5602
0.6820 7.6886 2.3082
2.0061 1.0362 6.8919
-1.0635 2.5309 5.6841
0.8519 4.1011 2.9086
2.7672 5.6712 0.1330
-0.3024 7.1659 -1.0748
```

## Properties
Space group: Immm, No. 71
N(E_F) in states/eV/cell: 19.87
Total energy in eV per atom: -4.487
ΔE_f in eV per atom: 0.05